Record 1
An optimized crystal structure of Y3TlHg5, computed with PBE-GGA.

Values from the calculation:
DFT formation energy ... -39 kJ/mol of atoms
Space-group type ... No. 193
Mass density ... 10.88 g/cm³

Lattice parameters (Å, degrees): 6.407 9.004 9.004 120.00 90.00 90.00
Atoms (fractional coordinates):
Y 0.250 0.336 0.000
Tl 0.000 0.000 0.000
Y 0.750 0.664 0.000
Y 0.250 0.000 0.336
Hg 0.250 0.000 0.666
Hg 0.250 0.334 0.334
Y 0.250 0.664 0.664
Hg 0.750 0.334 0.000
Hg 0.750 0.666 0.666
Hg 0.000 0.333 0.667
Hg 0.000 0.667 0.333
Y 0.750 0.336 0.336
Tl 0.500 0.000 0.000
Hg 0.500 0.333 0.667
Hg 0.500 0.667 0.333
Hg 0.250 0.666 0.000
Y 0.750 0.000 0.664
Hg 0.750 0.000 0.334



Record 2
An optimized crystal structure of YTlHg, computed with PBE-GGA.

Values from the calculation:
DFT formation energy ... -28 kJ/mol of atoms
Space-group type ... No. 216
Mass density ... 9.70 g/cm³

Lattice parameters (Å, degrees): 4.927 4.927 4.927 60.00 60.00 60.00
Atoms (fractional coordinates):
Tl 0.000 0.000 0.000
Hg 0.750 0.750 0.750
Y 0.500 0.500 0.500



Record 3
An optimized crystal structure of YTlHg, computed with PBE-GGA.

Values from the calculation:
DFT formation energy ... -32 kJ/mol of atoms
Space-group type ... No. 2
Mass density ... 10.35 g/cm³

Lattice parameters (Å, degrees): 4.669 6.517 7.814 78.37 89.94 44.09
Atoms (fractional coordinates):
Hg 0.810 0.774 0.870
Tl 0.485 0.098 0.221
Y 0.461 0.621 0.174
Y 0.157 0.926 0.565
Tl 0.134 0.450 0.518
Hg 0.810 0.274 0.870